(1)
K4AuIBr2 | GGA-PBE | optimized geometry

**N(E_F)**: 0.00 states/eV/cell
**Total moment**: 0.000 μB/cell
**Density**: 3.32 g/cm3
**Total energy**: -22.99 eV per cell

Structure (POSCAR):
```
K4AuIBr2
1.0
8.369 0.000 0.000
0.000 4.816 0.000
-2.780 0.000 7.948
K Au I Br
4 1 1 2
direct
0.241 0.000 0.237
0.250 0.500 0.761
0.750 0.500 0.239
0.759 0.000 0.763
0.000 0.000 0.500
0.500 0.500 0.500
0.000 0.500 0.000
0.500 0.000 0.000
```

***

(2)
CdPC | GGA-PBE | optimized geometry

**N(E_F)**: 3.81 states/eV/cell
**ΔE_f**: 1.09 eV/f.u.
**Polymorph energy (0 for the lowest one)**: 0.069 eV per atom
**Total moment**: 0.000 μB/cell
**Density**: 4.20 g/cm3
**Total energy**: -57.82 eV per cell

Structure (POSCAR):
```
CdPC
1.0
8.078 0.000 0.000
0.000 3.754 0.000
-0.025 0.000 8.112
Cd P C
4 4 4
direct
0.247 0.000 0.140
0.253 0.500 0.860
0.747 0.500 0.140
0.753 0.000 0.860
0.003 0.756 0.666
0.497 0.256 0.334
0.503 0.256 0.666
0.997 0.756 0.334
0.000 0.076 0.500
0.000 0.436 0.500
0.500 0.576 0.500
0.500 0.936 0.500
```

***

(3)
CePmTlSn | GGA-PBE | optimized geometry

**N(E_F)**: 7.23 states/eV/cell
**ΔE_f**: -1.85 eV/f.u.
**Polymorph energy (0 for the lowest one)**: 0.000 eV per atom
**Total moment**: 1.457 μB/cell
**Density**: 8.74 g/cm3
**Total energy**: -18.90 eV per cell

Structure (POSCAR):
```
CePmTlSn
1.0
4.077 0.000 0.000
0.000 4.077 0.000
0.000 0.000 6.953
Ce Pm Tl Sn
1 1 1 1
direct
0.000 0.000 0.000
0.000 0.000 0.522
0.500 0.500 0.266
0.500 0.500 0.757
```

***

(4)
In2AgIr | GGA-PBE | optimized geometry

**N(E_F)**: 1.50 states/eV/cell
**ΔE_f**: 0.11 eV/f.u.
**Total moment**: 0.000 μB/cell
**Density**: 11.54 g/cm3
**Total energy**: -17.08 eV per cell

Structure (POSCAR):
```
In2AgIr
1.0
3.118 0.000 0.000
0.000 3.118 0.000
0.000 0.000 7.844
In Ag Ir
2 1 1
direct
0.000 0.000 0.227
0.000 0.000 0.773
0.500 0.500 0.500
0.500 0.500 0.000
```

***

(5)
MgZnRu2 | GGA-PBE | optimized geometry

**N(E_F)**: 10.97 states/eV/cell
**ΔE_f**: 0.37 eV/f.u.
**Total moment**: 0.000 μB/cell
**Density**: 7.85 g/cm3
**Total energy**: -63.15 eV per cell

Structure (POSCAR):
```
MgZnRu2
1.0
2.813 0.000 0.000
-1.407 2.436 0.000
0.000 0.000 27.016
Mg Zn Ru
3 3 6
direct
0.000 0.000 0.000
0.333 0.667 0.667
0.667 0.333 0.333
0.000 0.000 0.761
0.333 0.667 0.428
0.667 0.333 0.094
0.000 0.000 0.249
0.000 0.000 0.508
0.333 0.667 0.175
0.333 0.667 0.916
0.667 0.333 0.583
0.667 0.333 0.842
```

***

(6)
KPdPt | GGA-PBE | optimized geometry

**N(E_F)**: 6.11 states/eV/cell
**ΔE_f**: 0.25 eV/f.u.
**Polymorph energy (0 for the lowest one)**: 0.205 eV per atom
**Total moment**: 0.000 μB/cell
**Density**: 7.78 g/cm3
**Total energy**: -24.16 eV per cell

Structure (POSCAR):
```
KPdPt
1.0
3.566 0.000 0.000
0.000 3.566 0.000
0.000 0.000 11.440
K Pd Pt
2 2 2
direct
0.000 0.000 0.000
0.500 0.500 0.500
0.000 0.000 0.723
0.500 0.500 0.223
0.000 0.000 0.281
0.500 0.500 0.781
```